(1)
BeVCrO4: relaxed, PBE with a Hubbard U.

Cell lengths 5.4326, 8.0118, 6.3108 Å; angles 90.00, 90.00, 90.00 degrees
Space group Cmcm (No. 63)
Symmetry-distinct sites (fractional):
1 Be 0.0000 0.1496 0.2500 x4
2 V 0.0000 0.5000 0.0000 x4
3 Cr 0.0000 0.1725 0.7500 x4
4 O 0.0000 0.2569 0.0382 x8
5 O 0.2410 0.0150 0.2500 x8

Calculated values
- Magnetization: 0.714 μB/atom
- Final energy: -7.515 eV per atom

---

(2)
BeV2CrO8: relaxed, PBE with a Hubbard U.

Cell lengths 5.5686, 5.5686, 5.0203 Å; angles 90.00, 90.00, 120.00 degrees
Space group P-3m1 (No. 164)
Symmetry-distinct sites (fractional):
1 Be 0.0000 0.0000 0.0000 x1
2 V 0.3333 0.6667 0.3124 x2
3 Cr 0.0000 0.0000 0.5000 x1
4 O 0.1502 0.3004 0.2324 x6
5 O 0.3333 0.6667 0.6353 x2

Calculated values
- Magnetization: 0.166 μB/atom
- Final energy: -7.164 eV per atom

---

(3)
BeZnCr2O6: relaxed, PBE with a Hubbard U.

Cell lengths 4.9312, 4.9441, 5.1127 Å; angles 90.42, 114.28, 119.63 degrees
Space group P1 (No. 1)
Symmetry-distinct sites (fractional):
1 Be 0.0000 0.0000 0.0000 x1
2 Zn 0.9735 0.5555 0.4985 x1
3 Cr 0.5226 0.7961 0.3345 x1
4 Cr 0.5255 0.2957 0.8447 x1
5 O 0.0135 0.9368 0.6652 x1
6 O 0.0180 0.6958 0.1182 x1
7 O 0.3789 0.3744 0.1188 x1
8 O 0.3988 0.5587 0.6169 x1
9 O 0.6347 0.1835 0.5661 x1
10 O 0.6954 0.0281 0.0661 x1

Calculated values
- Magnetization: 0.400 μB/atom
- Final energy: -6.606 eV per atom